[1]
The following is a GGA-PBE calculation of a relaxed Ca2MgSiPd6 crystal, from Alexandria via LeMat-Bulk.

Values from the calculation:
DOS at the Fermi energy in states/eV/cell: 3.3
Energy in eV/atom: -4.802

Lattice parameters (Å, degrees): 5.636 6.188 6.705 72.35 65.20 63.04
Positions (direct):
1 Ca 0.014 0.232 0.243
2 Ca 0.986 0.768 0.757
3 Mg 0.500 0.000 0.500
4 Si 0.500 0.500 0.000
5 Pd 0.028 0.667 0.291
6 Pd 0.326 0.925 0.918
7 Pd 0.485 0.334 0.710
8 Pd 0.515 0.666 0.290
9 Pd 0.674 0.075 0.082
10 Pd 0.972 0.333 0.709



[2]
The following is a GGA-PBE calculation of a relaxed Ca2MgSi4Pd3 crystal, from Alexandria via LeMat-Bulk.

Values from the calculation:
DOS at the Fermi energy in states/eV/cell: 4.8
Energy in eV/atom: -4.906

Lattice parameters (Å, degrees): 4.137 4.137 10.725 90.00 90.00 90.00
Positions (direct):
1 Ca 0.000 0.500 0.245
2 Ca 0.500 0.000 0.755
3 Mg 0.000 0.000 0.500
4 Si 0.000 0.000 0.000
5 Si 0.000 0.500 0.649
6 Si 0.500 0.000 0.351
7 Si 0.500 0.500 0.000
8 Pd 0.000 0.500 0.876
9 Pd 0.500 0.000 0.124
10 Pd 0.500 0.500 0.500